1.
A plane-wave DFT calculation with SCAN was carried out for TmCuSn at its PBEsol-relaxed geometry.

Computed properties:
mass density: 9.64 g/cm³

Lattice parameters (Å, degrees): 4.444 4.444 7.069 90.00 90.00 120.00
Element x y z (fractional)
Sn  0.333  0.667  0.750
Sn  0.667  0.333  0.250
Tm  0.000  0.000  0.000
Tm  0.000  0.000  0.500
Cu  0.667  0.333  0.750
Cu  0.333  0.667  0.250

2.
A plane-wave DFT calculation with SCAN was carried out for UCuSn at its PBEsol-relaxed geometry.

Computed properties:
mass density: 12.22 g/cm³

Lattice parameters (Å, degrees): 4.835 4.835 5.643 90.00 90.00 120.00
Last column: magnetic moment on the atom in μB.
Element x y z (fractional)
U  0.000  0.000  0.500  2.69
U  0.000  0.000  0.000  2.69
Cu  0.667  0.333  0.750  0.02
Cu  0.333  0.667  0.250  0.02
Sn  0.667  0.333  0.250  -0.05
Sn  0.333  0.667  0.750  -0.05

3.
A plane-wave DFT calculation with SCAN was carried out for YCuSn at its PBEsol-relaxed geometry.

Computed properties:
mass density: 7.23 g/cm³

Lattice parameters (Å, degrees): 4.476 4.476 7.175 90.00 90.00 120.00
Element x y z (fractional)
Sn  0.667  0.333  0.770
Sn  0.333  0.667  0.270
Cu  0.667  0.333  0.180
Cu  0.333  0.667  0.680
Y  0.000  0.000  0.500
Y  0.000  0.000  0.000

V values, unit Å³ per cell, following the record order: 121; 114; 124.
Raw total energy values, unit eV/atom, following the record order: -34.94; -51.54; -27.06.
Energy of formation values, unit eV/atom, following the record order: -0.6240; 0.0125; -0.7438.